No. 1
DFT (PBE-GGA) results for a geometry-optimized BaLaTa2 structure.

POSCAR file:
```
BaLaTa2
1.0
3.994 0.000 0.000
0.000 3.994 0.000
0.000 0.000 7.485
Ba La Ta
1 1 2
Direct
0.000 0.000 0.000
0.000 0.000 0.500
0.500 0.500 0.326
0.500 0.500 0.674
```

Results
Size of the total moment: 0.0 Bohr magnetons per cell
VASP energy: -6.73 eV per atom
Symmetry: No. 123
Mass density: 8.9 Mg/m³
ΔE to the lowest computed polymorph: 171.0 kJ/mol of formula units



No. 2
DFT (PBE-GGA) results for a geometry-optimized BaLa2Ta structure.

POSCAR file:
```
BaLa2Ta
1.0
1.779 1.027 12.135
-1.779 1.027 12.135
0.000 -2.054 12.135
Ba La Ta
1 2 1
Direct
0.000 0.000 0.000
0.235 0.235 0.235
0.765 0.765 0.765
0.500 0.500 0.500
```

Results
Size of the total moment: 0.0 Bohr magnetons per cell
VASP energy: -5.33 eV per atom
Symmetry: No. 166
Mass density: 7.4 Mg/m³
ΔE to the lowest computed polymorph: 65.2 kJ/mol of formula units



No. 3
DFT (PBE-GGA) results for a geometry-optimized BaLa2Ta structure.

POSCAR file:
```
BaLa2Ta
1.0
-2.514 2.514 5.039
2.514 -2.514 5.039
2.514 2.514 -5.039
Ba La Ta
1 2 1
Direct
0.000 0.000 0.000
0.250 0.750 0.500
0.500 0.500 0.000
0.750 0.250 0.500
```

Results
Size of the total moment: 0.1 Bohr magnetons per cell
VASP energy: -5.18 eV per atom
Symmetry: No. 119
Mass density: 7.8 Mg/m³
ΔE to the lowest computed polymorph: 123.8 kJ/mol of formula units



No. 4
DFT (PBE-GGA) results for a geometry-optimized BaLaTa2 structure.

POSCAR file:
```
BaLaTa2
1.0
3.080 0.000 0.000
0.000 3.080 0.000
0.000 0.000 11.087
Ba La Ta
1 1 2
Direct
0.000 0.000 0.000
0.000 0.000 0.500
0.500 0.500 0.269
0.500 0.500 0.731
```

Results
Size of the total moment: 0.0 Bohr magnetons per cell
VASP energy: -6.66 eV per atom
Symmetry: No. 123
Mass density: 10.1 Mg/m³
ΔE to the lowest computed polymorph: 198.7 kJ/mol of formula units



No. 5
DFT (PBE-GGA) results for a geometry-optimized BaLa2Ta structure.

POSCAR file:
```
BaLa2Ta
1.0
3.611 -4.981 0.000
3.611 4.981 0.000
0.000 0.000 3.510
Ba La Ta
1 2 1
Direct
0.000 0.000 0.000
0.000 0.500 0.500
0.500 0.000 0.500
0.500 0.500 0.000
```

Results
Size of the total moment: 0.0 Bohr magnetons per cell
VASP energy: -5.17 eV per atom
Symmetry: No. 65
Mass density: 7.8 Mg/m³
ΔE to the lowest computed polymorph: 127.3 kJ/mol of formula units



No. 6
DFT (PBE-GGA) results for a geometry-optimized BaLa2Ta structure.

POSCAR file:
```
BaLa2Ta
1.0
0.000 3.993 3.993
3.993 0.000 3.993
3.993 3.993 0.000
Ba La Ta
1 2 1
Direct
0.000 0.000 0.000
0.250 0.250 0.250
0.750 0.750 0.750
0.500 0.500 0.500
```

Results
Size of the total moment: 0.9 Bohr magnetons per cell
VASP energy: -5.21 eV per atom
Symmetry: No. 225
Mass density: 7.8 Mg/m³
ΔE to the lowest computed polymorph: 112.5 kJ/mol of formula units



No. 7
DFT (PBE-GGA) results for a geometry-optimized BaLaTa2 structure.

POSCAR file:
```
BaLaTa2
1.0
4.052 -2.338 0.000
4.052 2.338 0.000
-2.691 0.000 7.167
Ba La Ta
1 1 2
Direct
0.000 0.000 0.000
0.809 0.809 0.424
0.224 0.224 0.671
0.557 0.557 0.670
```

Results
Size of the total moment: 0.0 Bohr magnetons per cell
VASP energy: -6.97 eV per atom
Symmetry: No. 8
Mass density: 7.8 Mg/m³
ΔE to the lowest computed polymorph: 78.3 kJ/mol of formula units



No. 8
DFT (PBE-GGA) results for a geometry-optimized BaLa2Ta structure.

POSCAR file:
```
BaLa2Ta
1.0
5.137 0.000 0.000
0.000 5.137 0.000
0.000 0.000 4.874
Ba La Ta
1 2 1
Direct
0.000 0.000 0.000
0.000 0.500 0.500
0.500 0.000 0.500
0.500 0.500 0.000
```

Results
Size of the total moment: 0.0 Bohr magnetons per cell
VASP energy: -5.18 eV per atom
Symmetry: No. 123
Mass density: 7.7 Mg/m³
ΔE to the lowest computed polymorph: 123.4 kJ/mol of formula units



No. 9
DFT (PBE-GGA) results for a geometry-optimized BaLa2Ta structure.

POSCAR file:
```
BaLa2Ta
1.0
5.011 -1.710 0.000
5.011 1.710 0.000
-0.629 0.000 7.876
Ba La Ta
1 2 1
Direct
0.000 0.000 0.000
0.238 0.238 0.692
0.762 0.762 0.308
0.500 0.500 0.500
```

Results
Size of the total moment: 0.5 Bohr magnetons per cell
VASP energy: -5.31 eV per atom
Symmetry: No. 12
Mass density: 7.3 Mg/m³
ΔE to the lowest computed polymorph: 72.1 kJ/mol of formula units



No. 10
DFT (PBE-GGA) results for a geometry-optimized BaLaTa2 structure.

POSCAR file:
```
BaLaTa2
1.0
1.738 1.003 10.961
-1.738 1.003 10.961
0.000 -2.007 10.961
Ba La Ta
1 1 2
Direct
0.000 0.000 0.000
0.219 0.219 0.219
0.476 0.476 0.476
0.753 0.753 0.753
```

Results
Size of the total moment: 0.0 Bohr magnetons per cell
VASP energy: -6.92 eV per atom
Symmetry: No. 160
Mass density: 9.2 Mg/m³
ΔE to the lowest computed polymorph: 98.5 kJ/mol of formula units



No. 11
DFT (PBE-GGA) results for a geometry-optimized Ba4LaTa structure.

POSCAR file:
```
Ba4LaTa
1.0
0.000 5.102 5.102
5.102 0.000 5.102
5.102 5.102 0.000
Ba La Ta
4 1 1
Direct
0.376 0.376 0.376
0.376 0.376 0.872
0.376 0.872 0.376
0.872 0.376 0.376
0.000 0.000 0.000
0.750 0.750 0.750
```

Results
Size of the total moment: 3.2 Bohr magnetons per cell
VASP energy: -3.00 eV per atom
Symmetry: No. 216
Mass density: 5.4 Mg/m³



No. 12
DFT (PBE-GGA) results for a geometry-optimized BaLa2Ta structure.

POSCAR file:
```
BaLa2Ta
1.0
-1.737 2.894 6.822
1.737 -2.894 6.822
1.737 2.894 -6.822
Ba La Ta
1 2 1
Direct
0.000 0.000 0.000
0.298 0.798 0.500
0.600 0.600 0.000
0.778 0.278 0.500
```

Results
Size of the total moment: 0.0 Bohr magnetons per cell
VASP energy: -5.28 eV per atom
Symmetry: No. 44
Mass density: 7.2 Mg/m³
ΔE to the lowest computed polymorph: 84.1 kJ/mol of formula units



| no. | formation energy from the elements (eV per formula unit) |
| --- | --- |
| 1 | 3.63 |
| 2 | 2.32 |
| 3 | 2.93 |
| 4 | 3.92 |
| 5 | 2.96 |
| 6 | 2.81 |
| 7 | 2.67 |
| 8 | 2.92 |
| 9 | 2.39 |
| 10 | 2.88 |
| 11 | 6.45 |
| 12 | 2.51 |